1.
# Tl2In2Bi2Pb

An optimized crystal structure of Tl2In2Bi2Pb (GGA-PBE, Alexandria).

Spin magnetization (μB per formula unit): 0.0
Calculated volume (Å³/atom): 30.76
Energy relative to the elements (meV per atom): 26

```
data_Tl2In2Bi2Pb
_chemical_formula_sum 'Tl2 In2 Bi2 Pb1'
_space_group_name_H-M_alt 'P 1'
_space_group_IT_number 1
_cell_length_a 8.615
_cell_length_b 8.615
_cell_length_c 8.615
_cell_angle_alpha 37.78
_cell_angle_beta 37.78
_cell_angle_gamma 37.78
loop_
_space_group_symop_operation_xyz
'x,y,z'
loop_
_atom_site_label
_atom_site_fract_x
_atom_site_fract_y
_atom_site_fract_z
Tl1 0.140 0.140 0.140
Tl2 0.860 0.860 0.860
In1 0.425 0.425 0.425
In2 0.575 0.575 0.575
Bi1 0.285 0.285 0.285
Bi2 0.715 0.715 0.715
Pb1 0.000 0.000 0.000
```

2.
# Tb5Dy3Cd

An optimized crystal structure of Tb5Dy3Cd (GGA-PBE, Alexandria).

Spin magnetization (μB per formula unit): 0.0
Calculated volume (Å³/atom): 35.86
Energy relative to the elements (meV per atom): 406

```
data_Tb5Dy3Cd
_chemical_formula_sum 'Tb10 Dy6 Cd2'
_space_group_name_H-M_alt 'P 1'
_space_group_IT_number 1
_cell_length_a 8.242
_cell_length_b 8.242
_cell_length_c 10.044
_cell_angle_alpha 103.42
_cell_angle_beta 103.42
_cell_angle_gamma 87.01
loop_
_space_group_symop_operation_xyz
'x,y,z'
loop_
_atom_site_label
_atom_site_fract_x
_atom_site_fract_y
_atom_site_fract_z
Tb1 0.057 0.576 0.217
Tb2 0.239 0.761 0.000
Tb3 0.240 0.240 0.055
Tb4 0.251 0.251 0.410
Tb5 0.424 0.943 0.783
Tb6 0.576 0.057 0.217
Tb7 0.749 0.749 0.590
Tb8 0.760 0.760 0.945
Tb9 0.761 0.239 0.000
Tb10 0.943 0.424 0.783
Dy1 0.000 0.000 0.500
Dy2 0.004 0.004 0.182
Dy3 0.499 0.499 0.328
Dy4 0.500 0.500 0.000
Dy5 0.501 0.501 0.672
Dy6 0.996 0.996 0.818
Cd1 0.266 0.266 0.735
Cd2 0.734 0.734 0.265
```

Look up the energy relative to the elements of the first one. 26 meV per atom